VASP calculation (PBE) on Pm3Er2Zn2 after structural relaxation.

Computed properties:
- ΔE_f (eV per atom) = -0.134
- polymorph energy (0 for the lowest one) (eV/atom) = 0.0335
- D(E_F) (states/eV/cell) = 16.193
- total moment (μB per cell) = 0.0

Unit cell a=12.953 b=3.733 c=9.116 alpha=90.00 beta=115.52 gamma=90.00
Fractional coordinates of all 14 atoms:
Pm  0.000  0.000  0.000
Pm  0.108  0.000  0.438
Pm  0.392  0.500  0.562
Pm  0.500  0.500  0.000
Pm  0.608  0.500  0.438
Pm  0.892  0.000  0.562
Er  0.151  0.500  0.816
Er  0.349  0.000  0.184
Er  0.651  0.000  0.816
Er  0.849  0.500  0.184
Zn  0.183  0.500  0.222
Zn  0.317  0.000  0.778
Zn  0.683  0.000  0.222
Zn  0.817  0.500  0.778


VASP calculation (PBE) on Cd2ReW after structural relaxation.

Computed properties:
- ΔE_f (eV per atom) = 0.747
- polymorph energy (0 for the lowest one) (eV/atom) = 0.3807
- D(E_F) (states/eV/cell) = 4.023
- total moment (μB per cell) = 0.0

Unit cell a=3.879 b=3.879 c=4.695 alpha=90.00 beta=90.00 gamma=90.00
Fractional coordinates of all 4 atoms:
Cd  0.000  0.500  0.000
Cd  0.500  0.000  0.000
Re  0.000  0.000  0.500
W  0.500  0.500  0.500


VASP calculation (PBE) on KSr2Cl after structural relaxation.

Computed properties:
- uncorrected formation energy (meV/atom) = -738.1
- polymorph energy (0 for the lowest one) (eV/atom) = 0.0930
- D(E_F) (states/eV/cell) = 5.350
- total moment (μB per cell) = 0.0

Unit cell a=4.166 b=7.486 c=12.302 alpha=90.00 beta=90.00 gamma=90.00
Fractional coordinates of all 8 atoms:
K  0.000  0.000  0.000
K  0.500  0.500  0.000
Sr  0.000  0.500  0.310
Sr  0.000  0.500  0.690
Sr  0.500  0.000  0.310
Sr  0.500  0.000  0.690
Cl  0.000  0.000  0.500
Cl  0.500  0.500  0.500


VASP calculation (PBE) on NpSeF3 after structural relaxation.

Computed properties:
- uncorrected formation energy (meV/atom) = -2569.0
- D(E_F) (states/eV/cell) = 22.129
- total moment (μB per cell) = 8.0

Unit cell a=8.672 b=5.696 c=12.805 alpha=90.00 beta=130.04 gamma=90.00
Fractional coordinates of all 20 atoms:
Np  0.147  0.025  0.209
Np  0.147  0.475  0.709
Np  0.853  0.525  0.291
Np  0.853  0.975  0.791
Se  0.150  0.735  0.529
Se  0.150  0.765  0.029
Se  0.850  0.235  0.971
Se  0.850  0.265  0.471
F  0.068  0.234  0.809
F  0.068  0.266  0.309
F  0.345  0.235  0.738
F  0.345  0.265  0.238
F  0.370  0.659  0.874
F  0.370  0.841  0.374
F  0.630  0.159  0.626
F  0.630  0.341  0.126
F  0.655  0.735  0.762
F  0.655  0.765  0.262
F  0.932  0.734  0.691
F  0.932  0.766  0.191